Record 1
# K4Th3CuTe8 (GGA-PBE, relaxed)
# magnetization	0.00	μB/f.u.
# density of states at the Fermi level	12.525	states/eV/cell
# energy relative to the elements, uncorrected	-1.03	eV per atom
# total energy	-4.5241	eV/atom
data_K4Th3CuTe8
_space_group_name_H-M_alt 'C 1 2/m 1'
_space_group_IT_number 12
_cell_length_a 15.7321
_cell_length_b 9.0239
_cell_length_c 9.7760
_cell_angle_alpha 90.00
_cell_angle_beta 122.51
_cell_angle_gamma 90.00
loop_
_space_group_symop_operation_xyz
'x,y,z'
'-x,-y,-z'
'-x,y,-z'
'x,-y,z'
'x+1/2,y+1/2,z'
'-x+1/2,-y+1/2,-z'
'-x+1/2,y+1/2,-z'
'x+1/2,-y+1/2,z'
loop_
_atom_site_label
_atom_site_type_symbol
_atom_site_fract_x
_atom_site_fract_y
_atom_site_fract_z
K1 K 0.0000 0.0000 0.0000
K2 K 0.0000 0.5000 0.0000
K3 K 0.2500 0.2500 0.0000
Th1 Th 0.0000 0.0000 0.5000
Th2 Th 0.2500 0.2500 0.5000
Cu1 Cu 0.0000 0.5000 0.5000
Te1 Te 0.0128 0.2600 0.2974
Te2 Te 0.2323 0.5000 0.7069
Te3 Te 0.2402 0.0000 0.7216

=====

Record 2
# Ti2Ga6Tc (GGA-PBE, relaxed)
# magnetization	0.00	μB/f.u.
# density of states at the Fermi level	13.865	states/eV/cell
# total energy	-5.1777	eV/atom
# ΔE_f	-0.254	eV/atom
data_Ti2Ga6Tc
_space_group_name_H-M_alt 'C 1 2/m 1'
_space_group_IT_number 12
_cell_length_a 9.1108
_cell_length_b 4.6108
_cell_length_c 7.0122
_cell_angle_alpha 90.00
_cell_angle_beta 105.35
_cell_angle_gamma 90.00
loop_
_space_group_symop_operation_xyz
'x,y,z'
'-x,-y,-z'
'-x,y,-z'
'x,-y,z'
'x+1/2,y+1/2,z'
'-x+1/2,-y+1/2,-z'
'-x+1/2,y+1/2,-z'
'x+1/2,-y+1/2,z'
loop_
_atom_site_label
_atom_site_type_symbol
_atom_site_fract_x
_atom_site_fract_y
_atom_site_fract_z
Ti1 Ti 0.0784 0.0000 0.3585
Ga1 Ga 0.1043 0.5000 0.6670
Ga2 Ga 0.1525 0.0000 0.0115
Ga3 Ga 0.2330 0.5000 0.2921
Tc1 Tc 0.0000 0.5000 0.0000

=====

Record 3
# Zn3Se (GGA-PBE, relaxed)
# magnetization	0.00	μB/f.u.
# distance to the lowest polymorph of the same formula	125	meV per atom
# density of states at the Fermi level	3.253	states/eV/cell
# energy relative to the elements, uncorrected	-0.04	eV per atom
# total energy	-1.8681	eV/atom
data_Zn3Se
_space_group_name_H-M_alt 'C 1 2/m 1'
_space_group_IT_number 12
_cell_length_a 6.4810
_cell_length_b 3.7356
_cell_length_c 6.7091
_cell_angle_alpha 90.00
_cell_angle_beta 108.91
_cell_angle_gamma 90.00
loop_
_space_group_symop_operation_xyz
'x,y,z'
'-x,-y,-z'
'-x,y,-z'
'x,-y,z'
'x+1/2,y+1/2,z'
'-x+1/2,-y+1/2,-z'
'-x+1/2,y+1/2,-z'
'x+1/2,-y+1/2,z'
loop_
_atom_site_label
_atom_site_type_symbol
_atom_site_fract_x
_atom_site_fract_y
_atom_site_fract_z
Zn1 Zn 0.0000 0.0000 0.0000
Zn2 Zn 0.2482 0.0000 0.7429
Se1 Se 0.0000 0.5000 0.5000

=====

Record 4
# VZnH (GGA-PBE, relaxed)
# magnetization	0.00	μB/f.u.
# distance to the lowest polymorph of the same formula	39	meV per atom
# density of states at the Fermi level	0.957	states/eV/cell
# total energy	-4.5930	eV/atom
data_VZnH
_space_group_name_H-M_alt 'P 4 m m'
_space_group_IT_number 99
_cell_length_a 2.6278
_cell_length_b 2.6278
_cell_length_c 4.3394
_cell_angle_alpha 90.00
_cell_angle_beta 90.00
_cell_angle_gamma 90.00
loop_
_space_group_symop_operation_xyz
'x,y,z'
'-y,x,z'
'-x,-y,z'
'y,-x,z'
'-x,y,z'
'y,x,z'
'x,-y,z'
'-y,-x,z'
loop_
_atom_site_label
_atom_site_type_symbol
_atom_site_fract_x
_atom_site_fract_y
_atom_site_fract_z
V1 V 0.0000 0.0000 0.0000
Zn1 Zn 0.5000 0.5000 0.4830
H1 H 0.5000 0.5000 0.9374